{
  "formula": "AlRh2Pb",
  "functional": "GGA-PBE",
  "state": "optimized geometry",
  "lattice_angstrom": [[0.000, 3.245, 3.245], [3.245, 0.000, 3.245], [3.245, 3.245, 0.000]],
  "species": ["Al", "Rh", "Rh", "Pb"],
  "frac_coords": [[0.000, 0.000, 0.000], [0.250, 0.250, 0.250], [0.500, 0.500, 0.500], [0.750, 0.750, 0.750]],
  "space_group": "F-43m",
  "final_energy_ev_per_cell": -21.9
}

{
  "formula": "DyTm2Tl2Ag2",
  "functional": "GGA-PBE",
  "state": "optimized geometry",
  "lattice_angstrom": [[2.442, 1.410, 8.524], [-2.442, 1.410, 8.524], [0.000, -2.819, 8.524]],
  "species": ["Dy", "Tm", "Tm", "Tl", "Tl", "Ag", "Ag"],
  "frac_coords": [[0.000, 0.000, 0.000], [0.133, 0.133, 0.133], [0.867, 0.867, 0.867], [0.265, 0.265, 0.265], [0.735, 0.735, 0.735], [0.437, 0.437, 0.437], [0.563, 0.563, 0.563]],
  "space_group": "R-3m",
  "final_energy_ev_per_cell": -25.0
}

{
  "formula": "AcY10Tm4",
  "functional": "GGA-PBE",
  "state": "optimized geometry",
  "lattice_angstrom": [[-6.386, 6.386, 3.332], [6.386, -6.386, 3.332], [6.386, 6.386, -3.332]],
  "species": ["Ac", "Y", "Y", "Y", "Y", "Y", "Y", "Y", "Y", "Y", "Y", "Tm", "Tm", "Tm", "Tm"],
  "frac_coords": [[0.000, 0.000, 0.000], [0.041, 0.879, 0.418], [0.121, 0.539, 0.162], [0.250, 0.750, 0.500], [0.378, 0.959, 0.838], [0.461, 0.622, 0.582], [0.539, 0.378, 0.418], [0.622, 0.041, 0.162], [0.750, 0.250, 0.500], [0.879, 0.461, 0.838], [0.959, 0.121, 0.582], [0.322, 0.567, 0.890], [0.433, 0.322, 0.755], [0.567, 0.678, 0.245], [0.678, 0.433, 0.110]],
  "space_group": "I4/m",
  "final_energy_ev_per_cell": -78.5
}

{
  "formula": "Dy10Tm4Th",
  "functional": "GGA-PBE",
  "state": "optimized geometry",
  "lattice_angstrom": [[-4.849, 4.849, 5.171], [4.849, -4.849, 5.171], [4.849, 4.849, -5.171]],
  "species": ["Dy", "Dy", "Dy", "Dy", "Dy", "Dy", "Dy", "Dy", "Dy", "Dy", "Tm", "Tm", "Tm", "Tm", "Th"],
  "frac_coords": [[0.048, 0.374, 0.100], [0.052, 0.952, 0.326], [0.250, 0.750, 0.500], [0.273, 0.948, 0.900], [0.374, 0.273, 0.326], [0.626, 0.727, 0.674], [0.727, 0.052, 0.100], [0.750, 0.250, 0.500], [0.948, 0.048, 0.674], [0.952, 0.626, 0.900], [0.165, 0.429, 0.594], [0.429, 0.835, 0.264], [0.571, 0.165, 0.736], [0.835, 0.571, 0.406], [0.500, 0.500, 0.000]],
  "space_group": "I4/m",
  "final_energy_ev_per_cell": -65.5
}

{
  "formula": "La3Ti4O12",
  "functional": "GGA-PBE",
  "state": "optimized geometry",
  "lattice_angstrom": [[7.809, 0.000, 0.000], [0.000, 3.894, 3.951], [0.000, -3.894, 3.951]],
  "species": ["La", "La", "La", "Ti", "Ti", "Ti", "Ti", "O", "O", "O", "O", "O", "O", "O", "O", "O", "O", "O", "O"],
  "frac_coords": [[0.000, 0.000, 0.000], [0.000, 0.496, 0.496], [0.500, 0.995, 0.995], [0.258, 0.495, 0.996], [0.258, 0.996, 0.495], [0.742, 0.495, 0.996], [0.742, 0.996, 0.495], [0.000, 0.045, 0.450], [0.000, 0.450, 0.045], [0.198, 0.745, 0.745], [0.237, 0.236, 0.751], [0.237, 0.751, 0.236], [0.285, 0.229, 0.229], [0.500, 0.542, 0.961], [0.500, 0.961, 0.542], [0.715, 0.229, 0.229], [0.763, 0.236, 0.751], [0.763, 0.751, 0.236], [0.802, 0.745, 0.745]],
  "space_group": "Amm2",
  "raw_formation_energy_kj_per_mol_atoms": -314
}

{
  "formula": "TlP",
  "functional": "GGA-PBE",
  "state": "optimized geometry",
  "lattice_angstrom": [[-5.615, 5.615, 2.161], [5.615, -5.615, 2.161], [5.615, 5.615, -2.161]],
  "species": ["Tl", "Tl", "Tl", "Tl", "P", "P", "P", "P"],
  "frac_coords": [[0.112, 0.703, 0.815], [0.297, 0.112, 0.409], [0.703, 0.888, 0.591], [0.888, 0.297, 0.185], [0.118, 0.279, 0.397], [0.279, 0.882, 0.161], [0.721, 0.118, 0.839], [0.882, 0.721, 0.603]],
  "space_group": "I4/m",
  "final_energy_ev_per_cell": -28.4
}

{
  "formula": "Y2PaRu4",
  "functional": "GGA-PBE",
  "state": "optimized geometry",
  "lattice_angstrom": [[-2.285, 2.285, 6.734], [2.285, -2.285, 6.734], [2.285, 2.285, -6.734]],
  "species": ["Y", "Y", "Pa", "Ru", "Ru", "Ru", "Ru"],
  "frac_coords": [[0.237, 0.237, 0.000], [0.763, 0.763, 0.000], [0.500, 0.500, 0.000], [0.107, 0.607, 0.500], [0.393, 0.893, 0.500], [0.607, 0.107, 0.500], [0.893, 0.393, 0.500]],
  "space_group": "I4/mmm",
  "final_energy_ev_per_cell": -60.1
}

{
  "formula": "Pa12ReGe6",
  "functional": "GGA-PBE",
  "state": "optimized geometry",
  "lattice_angstrom": [[5.375, 3.103, 4.191], [-5.375, 3.103, 4.191], [0.000, -6.206, 4.191]],
  "species": ["Pa", "Pa", "Pa", "Pa", "Pa", "Pa", "Pa", "Pa", "Pa", "Pa", "Pa", "Pa", "Re", "Ge", "Ge", "Ge", "Ge", "Ge", "Ge"],
  "frac_coords": [[0.019, 0.929, 0.301], [0.071, 0.699, 0.981], [0.124, 0.453, 0.350], [0.301, 0.019, 0.929], [0.350, 0.124, 0.453], [0.453, 0.350, 0.124], [0.547, 0.650, 0.876], [0.650, 0.876, 0.547], [0.699, 0.981, 0.071], [0.876, 0.547, 0.650], [0.929, 0.301, 0.019], [0.981, 0.071, 0.699], [0.500, 0.500, 0.500], [0.239, 0.388, 0.758], [0.242, 0.761, 0.612], [0.388, 0.758, 0.239], [0.612, 0.242, 0.761], [0.758, 0.239, 0.388], [0.761, 0.612, 0.242]],
  "space_group": "R-3",
  "final_energy_ev_per_cell": -156.9
}

{
  "formula": "BaTe2Au",
  "functional": "GGA-PBE",
  "state": "optimized geometry",
  "lattice_angstrom": [[-2.265, 2.823, 5.131], [2.265, -2.823, 5.131], [2.265, 2.823, -5.131]],
  "species": ["Ba", "Te", "Te", "Au"],
  "frac_coords": [[0.000, 0.000, 0.000], [0.285, 0.785, 0.500], [0.534, 0.534, 0.000], [0.689, 0.189, 0.500]],
  "space_group": "Imm2",
  "de_polymorph_kcal_per_mol_atoms": 5.56,
  "raw_formation_energy_kj_per_mol_atoms": -59
}

{
  "formula": "Mn2AuI8",
  "functional": "GGA-PBE",
  "state": "optimized geometry",
  "lattice_angstrom": [[6.575, -4.308, 0.000], [6.575, 4.308, 0.000], [-5.179, 0.000, 9.566]],
  "species": ["Mn", "Mn", "Au", "I", "I", "I", "I", "I", "I", "I", "I"],
  "frac_coords": [[0.104, 0.104, 0.405], [0.896, 0.896, 0.595], [0.000, 0.000, 0.000], [0.130, 0.130, 0.669], [0.159, 0.713, 0.803], [0.287, 0.841, 0.197], [0.335, 0.335, 0.515], [0.665, 0.665, 0.485], [0.713, 0.159, 0.803], [0.841, 0.287, 0.197], [0.870, 0.870, 0.331]],
  "space_group": "C2/m",
  "de_polymorph_kcal_per_mol_atoms": 0.00,
  "raw_formation_energy_kj_per_mol_atoms": -22
}

{
  "formula": "TbEr4Tm2Sc",
  "functional": "GGA-PBE",
  "state": "optimized geometry",
  "lattice_angstrom": [[4.917, 0.000, 0.000], [0.000, 4.917, 0.000], [0.000, 0.000, 9.846]],
  "species": ["Tb", "Er", "Er", "Er", "Er", "Tm", "Tm", "Sc"],
  "frac_coords": [[0.000, 0.000, 0.000], [0.000, 0.500, 0.255], [0.000, 0.500, 0.745], [0.500, 0.000, 0.255], [0.500, 0.000, 0.745], [0.000, 0.000, 0.500], [0.500, 0.500, 0.000], [0.500, 0.500, 0.500]],
  "space_group": "P4/mmm",
  "final_energy_ev_per_cell": -37.9
}

{
  "formula": "Pa5Au",
  "functional": "GGA-PBE",
  "state": "optimized geometry",
  "lattice_angstrom": [[2.737, -8.130, 0.000], [2.737, 8.130, 0.000], [0.000, 0.000, 3.224]],
  "species": ["Pa", "Pa", "Pa", "Pa", "Pa", "Au"],
  "frac_coords": [[0.000, 0.000, 0.000], [0.164, 0.836, 0.500], [0.334, 0.666, 0.000], [0.666, 0.334, 0.000], [0.836, 0.164, 0.500], [0.500, 0.500, 0.500]],
  "space_group": "Cmmm",
  "final_energy_ev_per_cell": -51.4
}

{
  "formula": "Ba3Cd2AgHg6",
  "functional": "GGA-PBE",
  "state": "optimized geometry",
  "lattice_angstrom": [[6.689, 0.000, 0.000], [-3.344, 5.792, 0.000], [0.000, 0.000, 9.845]],
  "species": ["Ba", "Ba", "Ba", "Cd", "Cd", "Ag", "Hg", "Hg", "Hg", "Hg", "Hg", "Hg"],
  "frac_coords": [[0.000, 0.000, 0.000], [0.333, 0.667, 0.618], [0.667, 0.333, 0.382], [0.333, 0.667, 0.996], [0.667, 0.333, 0.004], [0.000, 0.000, 0.500], [0.178, 0.355, 0.278], [0.178, 0.822, 0.278], [0.355, 0.178, 0.722], [0.645, 0.822, 0.278], [0.822, 0.178, 0.722], [0.822, 0.645, 0.722]],
  "space_group": "P-3m1",
  "final_energy_ev_per_cell": -15.6
}

{
  "formula": "P2PbW",
  "functional": "GGA-PBE",
  "state": "optimized geometry",
  "lattice_angstrom": [[-2.955, 2.955, 5.977], [2.955, -2.955, 5.977], [2.955, 2.955, -5.977]],
  "species": ["P", "P", "P", "P", "Pb", "Pb", "W", "W"],
  "frac_coords": [[0.040, 0.625, 0.915], [0.375, 0.290, 0.415], [0.710, 0.125, 0.085], [0.875, 0.960, 0.585], [0.250, 0.750, 0.500], [0.500, 0.500, 0.000], [0.000, 0.000, 0.000], [0.750, 0.250, 0.500]],
  "space_group": "I-42d",
  "final_energy_ev_per_cell": -52.6
}

{
  "formula": "YHg3As",
  "functional": "GGA-PBE",
  "state": "optimized geometry",
  "lattice_angstrom": [[5.238, 0.000, 0.000], [0.000, 5.238, 0.000], [0.000, 0.000, 5.238]],
  "species": ["Y", "Hg", "Hg", "Hg", "As"],
  "frac_coords": [[0.000, 0.000, 0.000], [0.000, 0.500, 0.500], [0.500, 0.000, 0.500], [0.500, 0.500, 0.000], [0.500, 0.500, 0.500]],
  "space_group": "Pm-3m",
  "de_polymorph_kcal_per_mol_atoms": 0.00
}

{
  "formula": "KCu2Mo",
  "functional": "GGA-PBE",
  "state": "optimized geometry",
  "lattice_angstrom": [[0.000, 3.394, 3.394], [3.394, 0.000, 3.394], [3.394, 3.394, 0.000]],
  "species": ["K", "Cu", "Cu", "Mo"],
  "frac_coords": [[0.000, 0.000, 0.000], [0.250, 0.250, 0.250], [0.750, 0.750, 0.750], [0.500, 0.500, 0.500]],
  "space_group": "Fm-3m",
  "de_polymorph_kcal_per_mol_atoms": 15.05
}

{
  "formula": "PaTiPb",
  "functional": "GGA-PBE",
  "state": "optimized geometry",
  "lattice_angstrom": [[5.027, 0.000, 0.000], [-2.514, 4.354, 0.000], [0.000, 0.000, 3.263]],
  "species": ["Pa", "Ti", "Pb"],
  "frac_coords": [[0.000, 0.000, 0.000], [0.667, 0.333, 0.500], [0.333, 0.667, 0.500]],
  "space_group": "P-6m2",
  "de_polymorph_kcal_per_mol_atoms": 0.00
}

{
  "formula": "Dy3Ho7Cd",
  "functional": "GGA-PBE",
  "state": "optimized geometry",
  "lattice_angstrom": [[6.914, 0.000, 0.000], [-3.457, 5.988, 0.000], [0.000, 0.000, 8.484]],
  "species": ["Dy", "Dy", "Dy", "Ho", "Ho", "Ho", "Ho", "Ho", "Ho", "Ho", "Cd"],
  "frac_coords": [[0.168, 0.337, 0.000], [0.168, 0.832, 0.000], [0.663, 0.832, 0.000], [0.006, 0.503, 0.339], [0.332, 0.166, 0.663], [0.333, 0.667, 0.671], [0.497, 0.503, 0.339], [0.497, 0.994, 0.339], [0.834, 0.166, 0.663], [0.834, 0.668, 0.663], [0.000, 0.000, 0.339]],
  "space_group": "P3m1",
  "final_energy_ev_per_cell": -45.0
}

{
  "formula": "La2GaAg5",
  "functional": "GGA-PBE",
  "state": "optimized geometry",
  "lattice_angstrom": [[2.303, -8.408, 0.000], [2.303, 8.408, 0.000], [0.000, 0.000, 9.725]],
  "species": ["La", "La", "La", "La", "Ga", "Ga", "Ag", "Ag", "Ag", "Ag", "Ag", "Ag", "Ag", "Ag", "Ag", "Ag"],
  "frac_coords": [[0.000, 0.000, 0.000], [0.000, 0.000, 0.500], [0.199, 0.801, 0.750], [0.801, 0.199, 0.250], [0.447, 0.553, 0.250], [0.553, 0.447, 0.750], [0.188, 0.812, 0.107], [0.188, 0.812, 0.393], [0.356, 0.644, 0.031], [0.356, 0.644, 0.469], [0.399, 0.601, 0.750], [0.601, 0.399, 0.250], [0.644, 0.356, 0.531], [0.644, 0.356, 0.969], [0.812, 0.188, 0.607], [0.812, 0.188, 0.893]],
  "space_group": "Cmcm",
  "final_energy_ev_per_cell": -58.5
}

{
  "formula": "ZnCoTcC2",
  "functional": "GGA-PBE",
  "state": "optimized geometry",
  "lattice_angstrom": [[3.825, 0.000, 0.000], [0.000, 3.825, 0.000], [0.000, 0.000, 4.463]],
  "species": ["Zn", "Co", "Tc", "C", "C"],
  "frac_coords": [[0.000, 0.000, 0.000], [0.000, 0.000, 0.500], [0.500, 0.500, 0.500], [0.000, 0.500, 0.000], [0.500, 0.000, 0.000]],
  "space_group": "P4/mmm",
  "final_energy_ev_per_cell": -24.6
}

{
  "formula": "InCu3Au4",
  "functional": "GGA-PBE",
  "state": "optimized geometry",
  "lattice_angstrom": [[7.921, -2.066, 0.000], [7.921, 2.066, 0.000], [-1.053, 0.000, 3.995]],
  "species": ["In", "Cu", "Cu", "Cu", "Au", "Au", "Au", "Au"],
  "frac_coords": [[0.000, 0.000, 0.000], [0.251, 0.251, 0.251], [0.500, 0.500, 0.500], [0.749, 0.749, 0.749], [0.133, 0.133, 0.634], [0.367, 0.367, 0.866], [0.633, 0.633, 0.134], [0.867, 0.867, 0.366]],
  "space_group": "C2/m",
  "de_polymorph_kcal_per_mol_atoms": 0.00
}

{
  "formula": "ZrTl4Se4",
  "functional": "GGA-PBE",
  "state": "optimized geometry",
  "lattice_angstrom": [[7.363, -2.037, 0.000], [7.363, 2.037, 0.000], [-5.826, 0.000, 9.203]],
  "species": ["Zr", "Tl", "Tl", "Tl", "Tl", "Se", "Se", "Se", "Se"],
  "frac_coords": [[0.000, 0.000, 0.000], [0.194, 0.194, 0.773], [0.414, 0.414, 0.602], [0.586, 0.586, 0.398], [0.806, 0.806, 0.227], [0.169, 0.169, 0.280], [0.404, 0.404, 0.063], [0.596, 0.596, 0.937], [0.831, 0.831, 0.720]],
  "space_group": "C2/m",
  "de_polymorph_kcal_per_mol_atoms": 0.18,
  "raw_formation_energy_kj_per_mol_atoms": -70
}

{
  "formula": "Hf3InRe2",
  "functional": "GGA-PBE",
  "state": "optimized geometry",
  "lattice_angstrom": [[3.351, 0.000, 0.000], [0.000, 3.351, 0.000], [0.000, 0.000, 10.186]],
  "species": ["Hf", "Hf", "Hf", "In", "Re", "Re"],
  "frac_coords": [[0.000, 0.000, 0.000], [0.000, 0.000, 0.307], [0.000, 0.000, 0.693], [0.500, 0.500, 0.500], [0.500, 0.500, 0.164], [0.500, 0.500, 0.836]],
  "space_group": "P4/mmm",
  "final_energy_ev_per_cell": -59.5
}